Crystalline HfZrSe2 at its relaxed geometry. Source: the Alexandria database, functional GGA-PBE.

Cell lengths 6.045, 6.045, 11.887 Å; angles 90.00, 90.00, 90.00 degrees
Element x y z (fractional)
1 Hf 0.000 0.000 0.000
2 Hf 0.000 0.500 0.250
3 Hf 0.500 0.000 0.750
4 Hf 0.500 0.500 0.500
5 Zr 0.000 0.000 0.500
6 Zr 0.000 0.500 0.750
7 Zr 0.500 0.000 0.250
8 Zr 0.500 0.500 0.000
9 Se 0.241 0.250 0.125
10 Se 0.250 0.741 0.375
11 Se 0.250 0.759 0.875
12 Se 0.259 0.250 0.625
13 Se 0.741 0.750 0.625
14 Se 0.750 0.241 0.875
15 Se 0.750 0.259 0.375
16 Se 0.759 0.750 0.125

Properties
- Relative energy among the computed polymorphs: 2.321 eV/f.u.
- Formation energy from raw total energies: -0.4817 eV/atom
- Space group: I-42d, No. 122
- N(E_F): 1.23 states/eV/atom



Crystalline HfZr3Se at its relaxed geometry. Source: the Alexandria database, functional GGA-PBE.

Cell lengths 4.987, 4.987, 4.987 Å; angles 90.00, 90.00, 90.00 degrees
Element x y z (fractional)
1 Hf 0.000 0.000 0.000
2 Zr 0.000 0.500 0.500
3 Zr 0.500 0.000 0.500
4 Zr 0.500 0.500 0.000
5 Se 0.500 0.500 0.500

Properties
- Relative energy among the computed polymorphs: 0.000 eV/f.u.
- Formation energy from raw total energies: -0.0753 eV/atom
- Space group: Pm-3m, No. 221
- N(E_F): 0.72 states/eV/atom



Crystalline Hf3ZrSe at its relaxed geometry. Source: the Alexandria database, functional GGA-PBE.

Cell lengths 4.938, 4.938, 4.938 Å; angles 90.00, 90.00, 90.00 degrees
Element x y z (fractional)
1 Hf 0.000 0.000 0.500
2 Hf 0.000 0.500 0.000
3 Hf 0.500 0.000 0.000
4 Zr 0.500 0.500 0.500
5 Se 0.000 0.000 0.000

Properties
- Relative energy among the computed polymorphs: 1.402 eV/f.u.
- Formation energy from raw total energies: 0.0049 eV/atom
- Space group: Pm-3m, No. 221
- N(E_F): 0.75 states/eV/atom



Crystalline HfZrSe at its relaxed geometry. Source: the Alexandria database, functional GGA-PBE.

Cell lengths 3.512, 3.512, 6.068 Å; angles 90.00, 90.00, 120.00 degrees
Element x y z (fractional)
1 Hf 0.000 0.000 0.000
2 Zr 0.333 0.667 0.619
3 Se 0.667 0.333 0.306

Properties
- Relative energy among the computed polymorphs: 0.000 eV/f.u.
- Formation energy from raw total energies: -0.7911 eV/atom
- Space group: P3m1, No. 156
- N(E_F): 0.19 states/eV/atom



Crystalline Hf3ZrSe at its relaxed geometry. Source: the Alexandria database, functional GGA-PBE.

Cell lengths 6.825, 6.825, 6.825 Å; angles 120.96, 92.88, 115.81 degrees
Element x y z (fractional)
1 Hf 0.275 0.000 0.775
2 Hf 0.275 0.500 0.275
3 Hf 0.287 0.037 0.250
4 Hf 0.713 0.963 0.750
5 Hf 0.725 0.000 0.225
6 Hf 0.725 0.500 0.725
7 Zr 0.291 0.541 0.750
8 Zr 0.709 0.459 0.250
9 Se 0.000 0.000 0.500
10 Se 0.000 0.500 0.000

Properties
- Relative energy among the computed polymorphs: 0.000 eV/f.u.
- Formation energy from raw total energies: -0.2755 eV/atom
- Space group: Imma, No. 74
- N(E_F): 0.78 states/eV/atom



Crystalline HfZr2Se2 at its relaxed geometry. Source: the Alexandria database, functional GGA-PBE.

Cell lengths 7.485, 7.485, 3.508 Å; angles 90.00, 90.00, 90.00 degrees
Element x y z (fractional)
1 Hf 0.000 0.000 0.000
2 Hf 0.500 0.500 0.000
3 Zr 0.156 0.344 0.500
4 Zr 0.344 0.844 0.500
5 Zr 0.656 0.156 0.500
6 Zr 0.844 0.656 0.500
7 Se 0.147 0.647 0.000
8 Se 0.353 0.147 0.000
9 Se 0.647 0.853 0.000
10 Se 0.853 0.353 0.000

Properties
- Formation energy from raw total energies: -0.8699 eV/atom
- Space group: P4/mbm, No. 127
- N(E_F): 0.57 states/eV/atom



Crystalline HfZr3Se at its relaxed geometry. Source: the Alexandria database, functional GGA-PBE.

Cell lengths 5.183, 5.183, 5.183 Å; angles 90.00, 90.00, 90.00 degrees
Element x y z (fractional)
1 Hf 0.000 0.000 0.000
2 Zr 0.000 0.000 0.500
3 Zr 0.000 0.500 0.000
4 Zr 0.500 0.000 0.000
5 Se 0.500 0.500 0.500

Properties
- Relative energy among the computed polymorphs: 5.474 eV/f.u.
- Formation energy from raw total energies: 1.0195 eV/atom
- Space group: Pm-3m, No. 221
- N(E_F): 2.02 states/eV/atom



Crystalline Hf3ZrSe at its relaxed geometry. Source: the Alexandria database, functional GGA-PBE.

Cell lengths 5.140, 5.140, 5.140 Å; angles 90.00, 90.00, 90.00 degrees
Element x y z (fractional)
1 Hf 0.000 0.000 0.500
2 Hf 0.000 0.500 0.000
3 Hf 0.500 0.000 0.000
4 Zr 0.000 0.000 0.000
5 Se 0.500 0.500 0.500

Properties
- Relative energy among the computed polymorphs: 7.336 eV/f.u.
- Formation energy from raw total energies: 1.1917 eV/atom
- Space group: Pm-3m, No. 221
- N(E_F): 1.14 states/eV/atom



Crystalline HfZrSe2 at its relaxed geometry. Source: the Alexandria database, functional GGA-PBE.

Cell lengths 3.550, 3.550, 26.396 Å; angles 90.00, 90.00, 120.00 degrees
Element x y z (fractional)
1 Hf 0.000 0.000 0.000
2 Hf 0.333 0.667 0.667
3 Hf 0.667 0.333 0.333
4 Zr 0.000 0.000 0.500
5 Zr 0.333 0.667 0.167
6 Zr 0.667 0.333 0.833
7 Se 0.000 0.000 0.398
8 Se 0.000 0.000 0.602
9 Se 0.333 0.667 0.065
10 Se 0.333 0.667 0.268
11 Se 0.667 0.333 0.732
12 Se 0.667 0.333 0.935

Properties
- Relative energy among the computed polymorphs: 1.379 eV/f.u.
- Formation energy from raw total energies: -0.7173 eV/atom
- Space group: R-3m, No. 166
- N(E_F): 1.21 states/eV/atom



Crystalline HfZrSe2 at its relaxed geometry. Source: the Alexandria database, functional GGA-PBE.

Cell lengths 3.527, 3.527, 22.358 Å; angles 90.00, 90.00, 120.00 degrees
Element x y z (fractional)
1 Hf 0.000 0.000 0.000
2 Hf 0.333 0.667 0.667
3 Hf 0.667 0.333 0.333
4 Zr 0.000 0.000 0.162
5 Zr 0.333 0.667 0.829
6 Zr 0.667 0.333 0.495
7 Se 0.000 0.000 0.414
8 Se 0.000 0.000 0.582
9 Se 0.333 0.667 0.080
10 Se 0.333 0.667 0.248
11 Se 0.667 0.333 0.747
12 Se 0.667 0.333 0.915

Properties
- Relative energy among the computed polymorphs: 0.000 eV/f.u.
- Formation energy from raw total energies: -1.0620 eV/atom
- Space group: R3m, No. 160
- N(E_F): 0.43 states/eV/atom



Crystalline HfZrSe2 at its relaxed geometry. Source: the Alexandria database, functional GGA-PBE.

Cell lengths 6.692, 6.692, 6.692 Å; angles 90.00, 90.00, 90.00 degrees
Element x y z (fractional)
1 Hf 0.000 0.000 0.000
2 Hf 0.000 0.500 0.500
3 Hf 0.500 0.000 0.500
4 Hf 0.500 0.500 0.000
5 Zr 0.000 0.000 0.500
6 Zr 0.000 0.500 0.000
7 Zr 0.500 0.000 0.000
8 Zr 0.500 0.500 0.500
9 Se 0.250 0.250 0.250
10 Se 0.250 0.250 0.750
11 Se 0.250 0.750 0.250
12 Se 0.250 0.750 0.750
13 Se 0.750 0.250 0.250
14 Se 0.750 0.250 0.750
15 Se 0.750 0.750 0.250
16 Se 0.750 0.750 0.750

Properties
- Relative energy among the computed polymorphs: 0.185 eV/f.u.
- Formation energy from raw total energies: -1.0158 eV/atom
- Space group: Fm-3m, No. 225
- N(E_F): 0.03 states/eV/atom



Crystalline HfZr2Se4 at its relaxed geometry. Source: the Alexandria database, functional GGA-PBE.

Cell lengths 14.422, 3.659, 6.764 Å; angles 90.00, 117.06, 90.00 degrees
Element x y z (fractional)
1 Hf 0.000 0.000 0.000
2 Hf 0.500 0.500 0.000
3 Zr 0.246 0.500 0.696
4 Zr 0.254 0.000 0.304
5 Zr 0.746 0.000 0.696
6 Zr 0.754 0.500 0.304
7 Se 0.104 0.000 0.440
8 Se 0.133 0.500 0.965
9 Se 0.367 0.000 0.035
10 Se 0.396 0.500 0.560
11 Se 0.604 0.500 0.440
12 Se 0.633 0.000 0.965
13 Se 0.867 0.500 0.035
14 Se 0.896 0.000 0.560

Properties
- Formation energy from raw total energies: -1.2903 eV/atom
- Space group: C2/m, No. 12
- N(E_F): 0.38 states/eV/atom